# 1
Here is a relaxed Lu2PdS crystal from Alexandria via LeMat-Bulk. Energies are from GGA-PBE.

Properties
Uncorrected formation energy, meV/atom: -763
V, Å³ per atom: 22.7

Cell and atoms, written as extended XYZ:
```
4
Lattice="1.745 1.008 8.611 -1.745 1.008 8.611 0.000 -2.015 8.611" Properties=species:S:1:pos:R:3 pbc="T T T"
Lu 0.000 0.000 2.584
Lu 0.000 0.000 23.250
Pd 0.000 0.000 0.000
S 0.000 0.000 12.917
```

---

# 2
Here is a relaxed Ca2AlRe crystal from Alexandria via LeMat-Bulk. Energies are from GGA-PBE.

Properties
E_form, eV per formula unit: 2.1
V, Å³ per atom: 21.4

Cell and atoms, written as extended XYZ:
```
4
Lattice="3.102 -4.754 0.000 3.102 4.754 0.000 0.000 0.000 2.904" Properties=species:S:1:pos:R:3 pbc="T T T"
Ca 1.551 2.377 0.000
Ca 1.551 -2.377 0.000
Al 0.000 0.000 1.452
Re 3.102 0.000 1.452
```

---

# 3
Here is a relaxed YPt4Cl crystal from Alexandria via LeMat-Bulk. Energies are from GGA-PBE.

Properties
Uncorrected formation energy, meV/atom: -607
V, Å³ per atom: 18.5

Cell and atoms, written as extended XYZ:
```
6
Lattice="0.000 3.818 3.818 3.818 0.000 3.818 3.818 3.818 0.000" Properties=species:S:1:pos:R:3 pbc="T T T"
Y 0.000 0.000 0.000
Pt 2.863 2.863 2.863
Pt 4.772 4.772 2.863
Pt 4.772 2.863 4.772
Pt 2.863 4.772 4.772
Cl 5.727 5.727 5.727
```

---

Q: Which formula does entry 3 have?
A: YPt4Cl